Record 1
CaCdIr2Br: optimized geometry, PBE-GGA.

The value obtained for the uncorrected formation energy is 1712 meV per atom. The value obtained for the electronic total energy is -2.75 eV/atom.

It has space group P4/mmm (No. 123), with a = 5.054 Å, b = 5.054 Å, c = 5.830 Å, α = 90.00°, β = 90.00° and γ = 90.00°. The asymmetric unit holds Ca at (0.000, 0.000, 0.000), Cd at (0.000, 0.000, 0.500), Ir at (0.000, 0.500, 0.000) and Br at (0.500, 0.500, 0.500).

=====

Record 2
Ca2DyAl2Pd5: optimized geometry, PBE-GGA.

The value obtained for the formation energy is -77.1 kJ per mole of atoms. The value obtained for the electronic total energy is -5.00 eV/atom.

It has space group P4/mbm (No. 127), with a = 10.138 Å, b = 10.138 Å, c = 3.769 Å, α = 90.00°, β = 90.00° and γ = 90.00°. The asymmetric unit holds Ca at (0.177, 0.323, 0.000), Dy at (0.000, 0.000, 0.000), Al at (0.119, 0.619, 0.000), Pd at (0.000, 0.500, 0.500) and Pd at (0.069, 0.783, 0.500).